BaIrBr5: relaxed, PBE.

Calculated values
Uncorrected formation energy, eV per atom: -0.99

Unit cell a=14.9492 b=7.4486 c=9.6269 alpha=90.00 beta=109.49 gamma=90.00
Closest atoms and distances in Å follow each position.
Space group C2/c (No. 15)
Inequivalent atoms, fractional coordinates:
Ba 0.0000 0.0290 0.2500 (multiplicity 4)  5 Br 3.25-3.28
Ir 0.0000 0.5000 0.0000 (multiplicity 4)  6 Br 2.50-2.53
Br 0.0000 0.4073 0.7500 (multiplicity 4)  2 Ir 2.50
Br 0.1251 0.2587 0.5397 (multiplicity 8)  1 Ir 2.53
Br 0.1258 0.2597 0.0909 (multiplicity 8)  1 Ir 2.53

---

BaIrBr: relaxed, PBE.

Calculated values
DOS(E_F), states/eV per cell: 6.997
ΔE to the lowest computed polymorph, eV per atom: 1.1343
Uncorrected formation energy, eV per atom: 0.12

Unit cell a=4.9927 b=4.9927 c=6.6424 alpha=90.00 beta=90.00 gamma=90.00
Closest atoms and distances in Å follow each position.
Space group P4/nmm (No. 129, origin choice 2)
Inequivalent atoms, fractional coordinates:
Ba 0.2500 0.2500 0.1583 (multiplicity 2)  2 Ir 3.19-3.46, 4 Br 3.37
Ir 0.2500 0.2500 0.6788 (multiplicity 2)  4 Br 2.76
Br 0.2500 0.7500 0.5000 (multiplicity 2)  4 Ir 2.76

---

BaIrBr: relaxed, PBE.

Calculated values
DOS(E_F), states/eV per cell: 3.571
ΔE to the lowest computed polymorph, eV per atom: 0.1107
Uncorrected formation energy, eV per atom: -0.90

Unit cell a=4.6038 b=18.1434 c=4.4114 alpha=90.00 beta=90.00 gamma=90.00
Closest atoms and distances in Å follow each position.
Space group Cmcm (No. 63)
Inequivalent atoms, fractional coordinates:
Ba 0.0000 0.1110 0.2500 (multiplicity 4)  6 Ir 3.38-3.55, 5 Br 3.47-3.66
Ir 0.0000 0.4748 0.2500 (multiplicity 4)  2 Ir 2.39
Br 0.0000 0.3130 0.2500 (multiplicity 4)  1 Ir 2.94